1.
The following is a DFT calculation (PBE) of an optimized crystal structure of Er2ThReC4.

The space group is Cmcm (No. 63) and the conventional cell measures 3.498, 12.132 and 12.073 Å, with angles of 90.00, 90.00 and 90.00 degrees. The asymmetric unit holds Er at (0.000, 0.128, 0.039), Th at (0.000, 0.408, 0.250), Re at (0.000, 0.331, 0.750), C at (0.000, 0.078, 0.250), C at (0.000, 0.232, 0.630) and C at (0.000, 0.500, 0.000).

The calculation puts the energy of formation from the pure elements at -1.283 eV/f.u. The magnetic moment comes out at 0.00 μB/atom. The calculated total energy comes out at -8.396 eV/atom.



2.
The following is a DFT calculation (PBE) of an optimized crystal structure of Ca3Ru2N4.

The space group is C2/c (No. 15) and the conventional cell measures 11.010, 8.608 and 5.338 Å, with angles of 90.00, 90.78 and 90.00 degrees. The asymmetric unit holds Ca at (0.000, 0.099, 0.250), Ca at (0.115, 0.359, 0.541), Ru at (0.213, 0.116, 0.915), N at (0.112, 0.324, 0.024) and N at (0.156, 0.079, 0.571).

The magnetic moment comes out at 0.00 μB/atom. The calculated total energy comes out at -6.827 eV/atom. The formation energy from raw total energies is -0.398 eV/atom.



3.
The following is a DFT calculation (PBE) of an optimized crystal structure of MgNiSe.

The space group is I4mm (No. 107) and the conventional cell measures 3.550, 3.550 and 7.761 Å, with angles of 90.00, 90.00 and 90.00 degrees. The asymmetric unit holds Mg at (0.000, 0.000, 0.000), Ni at (0.000, 0.000, 0.650) and Se at (0.000, 0.000, 0.344).

The magnetic moment comes out at 0.00 μB/atom. The calculated total energy comes out at -3.856 eV/atom. The formation energy from raw total energies is -0.236 eV/atom.



- Which value of calculated total energy does entry 3 give?
  -3.856 eV/atom



Repeat the first record exactly.
The following is a DFT calculation (PBE) of an optimized crystal structure of Er2ThReC4.

The space group is Cmcm (No. 63) and the conventional cell measures 3.498, 12.132 and 12.073 Å, with angles of 90.00, 90.00 and 90.00 degrees. The asymmetric unit holds Er at (0.000, 0.128, 0.039), Th at (0.000, 0.408, 0.250), Re at (0.000, 0.331, 0.750), C at (0.000, 0.078, 0.250), C at (0.000, 0.232, 0.630) and C at (0.000, 0.500, 0.000).

The calculation puts the energy of formation from the pure elements at -1.283 eV/f.u. The magnetic moment comes out at 0.00 μB/atom. The calculated total energy comes out at -8.396 eV/atom.



- The highest calculated total energy belongs to which entry?
  MgNiSe



- Which of these has the highest calculated total energy?
  MgNiSe